w | Computed, not measured: a relaxed structure of Rb3AlO3 at the PBE level of DFT.

CIF file:
```
data_Rb3AlO3
_symmetry_space_group_name_H-M 'R 3 m'
_symmetry_Int_Tables_number 160
_symmetry_space_group_name_Hall 'R 3 -2"'
_cell_length_a 11.6161
_cell_length_b 11.6161
_cell_length_c 4.4615
_cell_angle_alpha 90.00
_cell_angle_beta 90.00
_cell_angle_gamma 120.00
loop_
_atom_site_label
_atom_site_type_symbol
_atom_site_fract_x
_atom_site_fract_y
_atom_site_fract_z
Rb1 Rb 0.1691 0.3382 0.0000
Al1 Al 0.0000 0.0000 0.4999
O1 O 0.0861 0.1721 0.4882
```

Values from the calculation:
* magnetization: 0.000 μB per cell

x | Computed, not measured: a relaxed structure of Rb3AlO3 at the PBE level of DFT.

CIF file:
```
data_Rb3AlO3
_symmetry_space_group_name_H-M 'P 1 21/c 1'
_symmetry_Int_Tables_number 14
_symmetry_space_group_name_Hall '-P 2ybc'
_cell_length_a 7.5500
_cell_length_b 6.9336
_cell_length_c 11.0039
_cell_angle_alpha 90.00
_cell_angle_beta 96.23
_cell_angle_gamma 90.00
loop_
_atom_site_label
_atom_site_type_symbol
_atom_site_fract_x
_atom_site_fract_y
_atom_site_fract_z
Rb1 Rb 0.0470 0.1172 0.1549
Rb2 Rb 0.3517 0.1706 0.9268
Rb3 Rb 0.3678 0.6827 0.8051
Al1 Al 0.1477 0.5736 0.0621
O1 O 0.0932 0.0569 0.4155
O2 O 0.2343 0.6914 0.5392
O3 O 0.2814 0.0554 0.6773
```

Values from the calculation:
* magnetization: 0.302 μB per cell

In order of decreasing stability: x, w.

w | Computed, not measured: a relaxed structure of RbTa2AlO at the PBE level of DFT.

CIF file:
```
data_RbTa2AlO
_symmetry_space_group_name_H-M 'P 4/m m m'
_symmetry_Int_Tables_number 123
_symmetry_space_group_name_Hall '-P 4 2'
_cell_length_a 4.2593
_cell_length_b 4.2593
_cell_length_c 5.6711
_cell_angle_alpha 90.00
_cell_angle_beta 90.00
_cell_angle_gamma 90.00
loop_
_atom_site_label
_atom_site_type_symbol
_atom_site_fract_x
_atom_site_fract_y
_atom_site_fract_z
Rb1 Rb 0.0000 0.0000 0.0000
Ta1 Ta 0.0000 0.5000 0.5000
Al1 Al 0.5000 0.5000 0.0000
O1 O 0.5000 0.5000 0.5000
```

Values from the calculation:
* magnetization: 0.000 μB per cell

x | Computed, not measured: a relaxed structure of RbTa2AlO at the PBE level of DFT.

CIF file:
```
data_RbTa2AlO
_symmetry_space_group_name_H-M 'P 4/m m m'
_symmetry_Int_Tables_number 123
_symmetry_space_group_name_Hall '-P 4 2'
_cell_length_a 4.8447
_cell_length_b 4.8447
_cell_length_c 5.1993
_cell_angle_alpha 90.00
_cell_angle_beta 90.00
_cell_angle_gamma 90.00
loop_
_atom_site_label
_atom_site_type_symbol
_atom_site_fract_x
_atom_site_fract_y
_atom_site_fract_z
Rb1 Rb 0.0000 0.0000 0.0000
Ta1 Ta 0.0000 0.5000 0.0000
Al1 Al 0.0000 0.0000 0.5000
O1 O 0.5000 0.5000 0.5000
```

Values from the calculation:
* magnetization: 0.000 μB per cell

In order of decreasing stability: w, x.

w | Computed, not measured: a relaxed structure of Al3RhO at the PBE level of DFT.

CIF file:
```
data_Al3RhO
_symmetry_space_group_name_H-M 'P m -3 m'
_symmetry_Int_Tables_number 221
_symmetry_space_group_name_Hall '-P 4 2 3'
_cell_length_a 3.9857
_cell_length_b 3.9857
_cell_length_c 3.9857
_cell_angle_alpha 90.00
_cell_angle_beta 90.00
_cell_angle_gamma 90.00
loop_
_atom_site_label
_atom_site_type_symbol
_atom_site_fract_x
_atom_site_fract_y
_atom_site_fract_z
Al1 Al 0.0000 0.0000 0.5000
Rh1 Rh 0.5000 0.5000 0.5000
O1 O 0.0000 0.0000 0.0000
```

Values from the calculation:
* magnetization: 0.000 μB per cell

x | Computed, not measured: a relaxed structure of Al3RhO at the PBE level of DFT.

CIF file:
```
data_Al3RhO
_symmetry_space_group_name_H-M 'P m -3 m'
_symmetry_Int_Tables_number 221
_symmetry_space_group_name_Hall '-P 4 2 3'
_cell_length_a 4.6259
_cell_length_b 4.6259
_cell_length_c 4.6259
_cell_angle_alpha 90.00
_cell_angle_beta 90.00
_cell_angle_gamma 90.00
loop_
_atom_site_label
_atom_site_type_symbol
_atom_site_fract_x
_atom_site_fract_y
_atom_site_fract_z
Al1 Al 0.0000 0.0000 0.5000
Rh1 Rh 0.0000 0.0000 0.0000
O1 O 0.5000 0.5000 0.5000
```

Values from the calculation:
* magnetization: 0.002 μB per cell

In order of decreasing stability: w, x.

w | Computed, not measured: a relaxed structure of AlRh2O at the PBE level of DFT.

CIF file:
```
data_AlRh2O
_symmetry_space_group_name_H-M 'F m -3 m'
_symmetry_Int_Tables_number 225
_symmetry_space_group_name_Hall '-F 4 2 3'
_cell_length_a 5.8647
_cell_length_b 5.8647
_cell_length_c 5.8647
_cell_angle_alpha 90.00
_cell_angle_beta 90.00
_cell_angle_gamma 90.00
loop_
_atom_site_label
_atom_site_type_symbol
_atom_site_fract_x
_atom_site_fract_y
_atom_site_fract_z
Al1 Al 0.0000 0.0000 0.0000
Rh1 Rh 0.2500 0.2500 0.2500
O1 O 0.0000 0.0000 0.5000
```

Values from the calculation:
* magnetization: 0.000 μB per cell

x | Computed, not measured: a relaxed structure of AlRh2O at the PBE level of DFT.

CIF file:
```
data_AlRh2O
_symmetry_space_group_name_H-M 'I -4 2 d'
_symmetry_Int_Tables_number 122
_symmetry_space_group_name_Hall 'I -4 2bw'
_cell_length_a 4.4332
_cell_length_b 4.4332
_cell_length_c 12.7852
_cell_angle_alpha 90.00
_cell_angle_beta 90.00
_cell_angle_gamma 90.00
loop_
_atom_site_label
_atom_site_type_symbol
_atom_site_fract_x
_atom_site_fract_y
_atom_site_fract_z
Al1 Al 0.0000 0.0000 0.0000
Rh1 Rh 0.1502 0.2500 0.6250
O1 O 0.0000 0.0000 0.5000
```

Values from the calculation:
* magnetization: 0.000 μB per cell

In order of decreasing stability: x, w.

w | Computed, not measured: a relaxed structure of Al2RhO2 at the PBE level of DFT.

CIF file:
```
data_Al2RhO2
_symmetry_space_group_name_H-M 'P 4/m b m'
_symmetry_Int_Tables_number 127
_symmetry_space_group_name_Hall '-P 4 2ab'
_cell_length_a 6.6486
_cell_length_b 6.6486
_cell_length_c 3.0140
_cell_angle_alpha 90.00
_cell_angle_beta 90.00
_cell_angle_gamma 90.00
loop_
_atom_site_label
_atom_site_type_symbol
_atom_site_fract_x
_atom_site_fract_y
_atom_site_fract_z
Al1 Al 0.2328 0.2672 0.0000
Rh1 Rh 0.0000 0.0000 0.5000
O1 O 0.1387 0.3613 0.5000
```

Values from the calculation:
* magnetization: 0.000 μB per cell

x | Computed, not measured: a relaxed structure of Al2RhO2 at the PBE level of DFT.

CIF file:
```
data_Al2RhO2
_symmetry_space_group_name_H-M 'I 4/m m m'
_symmetry_Int_Tables_number 139
_symmetry_space_group_name_Hall '-I 4 2'
_cell_length_a 4.0013
_cell_length_b 4.0013
_cell_length_c 7.5400
_cell_angle_alpha 90.00
_cell_angle_beta 90.00
_cell_angle_gamma 90.00
loop_
_atom_site_label
_atom_site_type_symbol
_atom_site_fract_x
_atom_site_fract_y
_atom_site_fract_z
Al1 Al 0.0000 0.5000 0.2500
Rh1 Rh 0.0000 0.0000 0.0000
O1 O 0.0000 0.0000 0.2778
```

Values from the calculation:
* magnetization: 0.000 μB per cell

In order of decreasing stability: w, x.

w | Computed, not measured: a relaxed structure of AlRh3O at the PBE level of DFT.

CIF file:
```
data_AlRh3O
_symmetry_space_group_name_H-M 'P m -3 m'
_symmetry_Int_Tables_number 221
_symmetry_space_group_name_Hall '-P 4 2 3'
_cell_length_a 4.0948
_cell_length_b 4.0948
_cell_length_c 4.0948
_cell_angle_alpha 90.00
_cell_angle_beta 90.00
_cell_angle_gamma 90.00
loop_
_atom_site_label
_atom_site_type_symbol
_atom_site_fract_x
_atom_site_fract_y
_atom_site_fract_z
Al1 Al 0.0000 0.0000 0.0000
Rh1 Rh 0.0000 0.5000 0.5000
O1 O 0.5000 0.5000 0.5000
```

Values from the calculation:
* magnetization: 0.000 μB per cell

x | Computed, not measured: a relaxed structure of AlRh3O at the PBE level of DFT.

CIF file:
```
data_AlRh3O
_symmetry_space_group_name_H-M 'P m -3 m'
_symmetry_Int_Tables_number 221
_symmetry_space_group_name_Hall '-P 4 2 3'
_cell_length_a 4.5092
_cell_length_b 4.5092
_cell_length_c 4.5092
_cell_angle_alpha 90.00
_cell_angle_beta 90.00
_cell_angle_gamma 90.00
loop_
_atom_site_label
_atom_site_type_symbol
_atom_site_fract_x
_atom_site_fract_y
_atom_site_fract_z
Al1 Al 0.0000 0.0000 0.0000
Rh1 Rh 0.0000 0.0000 0.5000
O1 O 0.5000 0.5000 0.5000
```

Values from the calculation:
* magnetization: 4.072 μB per cell

In order of decreasing stability: w, x.

w | Computed, not measured: a relaxed structure of AlRu3O at the PBE level of DFT.

CIF file:
```
data_AlRu3O
_symmetry_space_group_name_H-M 'P m -3 m'
_symmetry_Int_Tables_number 221
_symmetry_space_group_name_Hall '-P 4 2 3'
_cell_length_a 4.4895
_cell_length_b 4.4895
_cell_length_c 4.4895
_cell_angle_alpha 90.00
_cell_angle_beta 90.00
_cell_angle_gamma 90.00
loop_
_atom_site_label
_atom_site_type_symbol
_atom_site_fract_x
_atom_site_fract_y
_atom_site_fract_z
Al1 Al 0.0000 0.0000 0.0000
Ru1 Ru 0.0000 0.0000 0.5000
O1 O 0.5000 0.5000 0.5000
```

Values from the calculation:
* magnetization: 5.334 μB per cell

x | Computed, not measured: a relaxed structure of AlRu3O at the PBE level of DFT.

CIF file:
```
data_AlRu3O
_symmetry_space_group_name_H-M 'P m -3 m'
_symmetry_Int_Tables_number 221
_symmetry_space_group_name_Hall '-P 4 2 3'
_cell_length_a 4.0427
_cell_length_b 4.0427
_cell_length_c 4.0427
_cell_angle_alpha 90.00
_cell_angle_beta 90.00
_cell_angle_gamma 90.00
loop_
_atom_site_label
_atom_site_type_symbol
_atom_site_fract_x
_atom_site_fract_y
_atom_site_fract_z
Al1 Al 0.0000 0.0000 0.0000
Ru1 Ru 0.0000 0.5000 0.5000
O1 O 0.5000 0.5000 0.5000
```

Values from the calculation:
* magnetization: 0.000 μB per cell

In order of decreasing stability: x, w.

w | Computed, not measured: a relaxed structure of Al2Ru2O at the PBE level of DFT.

CIF file:
```
data_Al2Ru2O
_symmetry_space_group_name_H-M 'I 4/m m m'
_symmetry_Int_Tables_number 139
_symmetry_space_group_name_Hall '-I 4 2'
_cell_length_a 3.4280
_cell_length_b 3.4280
_cell_length_c 13.2740
_cell_angle_alpha 90.00
_cell_angle_beta 90.00
_cell_angle_gamma 90.00
loop_
_atom_site_label
_atom_site_type_symbol
_atom_site_fract_x
_atom_site_fract_y
_atom_site_fract_z
Al1 Al 0.0000 0.0000 0.0944
Ru1 Ru 0.0000 0.5000 0.2500
O1 O 0.0000 0.0000 0.5000
```

Values from the calculation:
* magnetization: 0.000 μB per cell

x | Computed, not measured: a relaxed structure of Al2Ru2O at the PBE level of DFT.

CIF file:
```
data_Al2Ru2O
_symmetry_space_group_name_H-M 'P 4/m b m'
_symmetry_Int_Tables_number 127
_symmetry_space_group_name_Hall '-P 4 2ab'
_cell_length_a 5.3646
_cell_length_b 5.3646
_cell_length_c 4.5510
_cell_angle_alpha 90.00
_cell_angle_beta 90.00
_cell_angle_gamma 90.00
loop_
_atom_site_label
_atom_site_type_symbol
_atom_site_fract_x
_atom_site_fract_y
_atom_site_fract_z
Al1 Al 0.1731 0.3269 0.0000
Ru1 Ru 0.1633 0.6633 0.5000
O1 O 0.0000 0.0000 0.0000
```

Values from the calculation:
* magnetization: 1.800 μB per cell

In order of decreasing stability: x, w.